Record 1
The following is a DFT calculation (GGA-PBE) of an optimized crystal structure of Dy6AlIr2.

Results
- formation energy from the elements (meV/atom) = -586
- DOS(E_F) (states/eV/f.u.) = 6.569
- space group = No. 71
- crystal system = orthorhombic

```
18
Lattice="-4.6739 4.7205 5.2151 4.6739 -4.7205 5.2151 4.6739 4.7205 -5.2151" Properties=species:S:1:pos:R:3 pbc="T T T"
Dy 4.6739 2.8538 -2.7156
Dy 2.6671 1.6979 0.0000
Dy 6.6806 1.6979 0.0000
Dy 1.7934 4.7205 -1.7517
Dy 2.8805 0.0000 3.4633
Dy 0.0000 1.8667 2.4995
Dy 4.6739 2.8538 2.7156
Dy 1.7934 4.7205 1.7517
Dy 2.8805 0.0000 6.9668
Dy -2.0067 3.0226 5.2151
Dy 2.0067 3.0226 5.2151
Dy 0.0000 1.8667 7.9306
Al 0.0000 0.0000 0.0000
Al 0.0000 0.0000 5.2151
Ir 4.6739 0.0000 1.3863
Ir 0.0000 3.0463 0.0000
Ir 0.0000 6.3947 0.0000
Ir 0.0000 4.7205 3.8287
```

=====

Record 2
The following is a DFT calculation (GGA-PBE) of an optimized crystal structure of Dy4Al12Ir.

Results
- formation energy from the elements (meV/atom) = -549
- DOS(E_F) (states/eV/f.u.) = 9.093
- space group = No. 229
- crystal system = cubic

```
17
Lattice="-4.3181 4.3181 4.3181 4.3181 -4.3181 4.3181 4.3181 4.3181 -4.3181" Properties=species:S:1:pos:R:3 pbc="T T T"
Dy 2.1591 2.1591 -2.1591
Dy 2.1591 -2.1591 2.1591
Dy -2.1591 2.1591 2.1591
Dy 2.1591 2.1591 2.1591
Al 2.4912 0.0000 0.0000
Al 6.1451 0.0000 0.0000
Al 4.3181 2.1591 0.0000
Al 4.3181 0.0000 2.1591
Al 0.0000 2.4912 0.0000
Al 0.0000 0.0000 2.4912
Al 2.1591 4.3181 0.0000
Al 2.1591 0.0000 4.3181
Al 0.0000 6.1451 0.0000
Al 0.0000 0.0000 6.1451
Al 0.0000 4.3181 2.1591
Al 0.0000 2.1591 4.3181
Ir 0.0000 0.0000 0.0000
```

=====

Record 3
The following is a DFT calculation (GGA-PBE) of an optimized crystal structure of Dy4AlIr.

Results
- formation energy from the elements (meV/atom) = -545
- DOS(E_F) (states/eV/f.u.) = 3.593
- space group = No. 216
- crystal system = cubic

```
24
Lattice="0.0000 6.7487 6.7487 6.7487 0.0000 6.7487 6.7487 6.7487 0.0000" Properties=species:S:1:pos:R:3 pbc="T T T"
Dy 6.7487 6.7487 2.5397
Dy 6.7487 2.5397 6.7487
Dy 10.9577 6.7487 6.7487
Dy 5.3788 5.3788 5.3788
Dy 8.1186 8.1186 5.3788
Dy 8.1186 5.3788 8.1186
Dy 10.1231 10.1231 7.4875
Dy 10.1231 7.4875 10.1231
Dy 12.7586 10.1231 10.1231
Dy 5.3788 8.1186 8.1186
Dy 2.5397 6.7487 6.7487
Dy 6.7487 10.9577 6.7487
Dy 6.7487 6.7487 10.9577
Dy 7.4875 10.1231 10.1231
Dy 10.1231 12.7586 10.1231
Dy 10.1231 10.1231 12.7586
Al 2.3280 2.3280 2.3280
Al 4.4207 4.4207 2.3280
Al 4.4207 2.3280 4.4207
Al 2.3280 4.4207 4.4207
Ir 8.2169 5.2805 5.2805
Ir 5.2805 8.2169 5.2805
Ir 5.2805 5.2805 8.2169
Ir 8.2169 8.2169 8.2169
```

=====

Record 4
The following is a DFT calculation (GGA-PBE) of an optimized crystal structure of DyAlIr2.

Results
- formation energy from the elements (meV/atom) = -734
- DOS(E_F) (states/eV/f.u.) = 0.737
- space group = No. 123
- crystal system = tetragonal

```
4
Lattice="4.4128 0.0000 0.0000 0.0000 4.4128 0.0000 0.0000 0.0000 3.4809" Properties=species:S:1:pos:R:3 pbc="T T T"
Dy 0.0000 0.0000 0.0000
Al 2.2064 2.2064 0.0000
Ir 0.0000 2.2064 1.7404
Ir 2.2064 0.0000 1.7404
```

=====

Record 5
The following is a DFT calculation (GGA-PBE) of an optimized crystal structure of Dy3AlIr3.

Results
- formation energy from the elements (meV/atom) = -901
- DOS(E_F) (states/eV/f.u.) = 3.847
- space group = No. 63
- crystal system = orthorhombic

```
14
Lattice="2.0530 -5.1469 0.0000 2.0530 5.1469 0.0000 0.0000 0.0000 13.7581" Properties=species:S:1:pos:R:3 pbc="T T T"
Dy 2.0530 4.9900 10.3186
Dy 2.0530 2.1015 8.3416
Dy 2.0530 2.1015 12.2955
Dy 2.0530 -2.1015 1.4626
Dy 2.0530 -2.1015 5.4165
Dy 2.0530 -4.9900 3.4395
Al 0.0000 0.0000 0.0000
Al 0.0000 0.0000 6.8791
Ir 2.0530 2.3930 3.4395
Ir 2.0530 0.8699 1.2108
Ir 2.0530 0.8699 5.6683
Ir 2.0530 -0.8699 8.0898
Ir 2.0530 -0.8699 12.5473
Ir 2.0530 -2.3930 10.3186
```

=====

Record 6
The following is a DFT calculation (GGA-PBE) of an optimized crystal structure of DyAlIr2.

Results
- formation energy from the elements (meV/atom) = -784
- DOS(E_F) (states/eV/f.u.) = 1.582
- space group = No. 123
- crystal system = tetragonal

```
4
Lattice="3.1208 0.0000 0.0000 0.0000 3.1208 0.0000 0.0000 0.0000 6.8792" Properties=species:S:1:pos:R:3 pbc="T T T"
Dy 0.0000 0.0000 0.0000
Al 0.0000 0.0000 3.4396
Ir 1.5604 1.5604 1.9792
Ir 1.5604 1.5604 4.9000
```

=====

Record 7
The following is a DFT calculation (GGA-PBE) of an optimized crystal structure of Dy3Al3Ir2.

Results
- formation energy from the elements (meV/atom) = -777
- DOS(E_F) (states/eV/f.u.) = 5.857
- space group = No. 62
- crystal system = orthorhombic

```
32
Lattice="7.7459 0.0000 0.0000 0.0000 15.1710 0.0000 0.0000 0.0000 5.7415" Properties=species:S:1:pos:R:3 pbc="T T T"
Dy 0.2394 1.6600 0.5927
Dy 0.2394 5.9255 0.5927
Dy 1.2712 3.7927 3.6048
Dy 2.6018 11.3782 0.7340
Dy 3.6335 9.2455 3.4635
Dy 3.6335 13.5109 3.4635
Dy 4.1124 1.6600 2.2781
Dy 4.1124 5.9255 2.2781
Dy 5.1441 3.7927 5.0075
Dy 6.4747 11.3782 2.1368
Dy 7.5065 9.2455 5.1488
Dy 7.5065 13.5109 5.1488
Al 1.2515 0.5383 3.4218
Al 1.2515 7.0472 3.4218
Al 1.3733 11.3782 3.5441
Al 2.4997 3.7927 0.6733
Al 2.6215 8.1238 0.5511
Al 2.6215 14.6326 0.5511
Al 5.1245 0.5383 5.1905
Al 5.1245 7.0472 5.1905
Al 5.2462 11.3782 5.0683
Al 6.3726 3.7927 2.1975
Al 6.4944 8.1238 2.3197
Al 6.4944 14.6326 2.3197
Ir 1.0227 9.2135 2.1357
Ir 1.0227 13.5429 2.1357
Ir 2.8503 1.6280 5.0065
Ir 2.8503 5.9575 5.0065
Ir 4.8956 9.2135 0.7350
Ir 4.8956 13.5429 0.7350
Ir 6.7233 1.6280 3.6058
Ir 6.7233 5.9575 3.6058
```

=====

Record 8
The following is a DFT calculation (GGA-PBE) of an optimized crystal structure of DyAl2Ir2.

Results
- formation energy from the elements (meV/atom) = -875
- DOS(E_F) (states/eV/f.u.) = 2.636
- space group = No. 139
- crystal system = tetragonal

```
10
Lattice="-2.0772 2.0772 10.5187 2.0772 -2.0772 10.5187 2.0772 2.0772 -10.5187" Properties=species:S:1:pos:R:3 pbc="T T T"
Dy 0.0000 0.0000 2.8041
Dy 0.0000 0.0000 18.2333
Al 2.0772 0.0000 0.0000
Al 0.0000 0.0000 6.5790
Al 0.0000 2.0772 0.0000
Al 0.0000 0.0000 14.4584
Ir 2.0772 0.0000 5.2593
Ir 0.0000 0.0000 9.0523
Ir 0.0000 0.0000 11.9851
Ir 0.0000 2.0772 5.2593
```

=====

Record 9
The following is a DFT calculation (GGA-PBE) of an optimized crystal structure of DyAl4Ir2.

Results
- formation energy from the elements (meV/atom) = -805
- DOS(E_F) (states/eV/f.u.) = 3.922
- space group = No. 62
- crystal system = orthorhombic

```
28
Lattice="17.1623 0.0000 0.0000 0.0000 4.2609 0.0000 0.0000 0.0000 6.6175" Properties=species:S:1:pos:R:3 pbc="T T T"
Dy 2.4039 1.0652 0.1211
Dy 6.1772 3.1956 3.4299
Dy 10.9851 1.0652 3.1876
Dy 14.7583 3.1956 6.4963
Al 0.5634 3.1956 5.6154
Al 1.1909 1.0652 3.2680
Al 3.2125 3.1956 2.1554
Al 3.3279 3.1956 4.8310
Al 5.2532 1.0652 1.5222
Al 5.3686 1.0652 5.4642
Al 7.3903 3.1956 6.5767
Al 8.0177 1.0652 2.3066
Al 9.1445 3.1956 4.3109
Al 9.7720 1.0652 0.0408
Al 11.7936 3.1956 1.1533
Al 11.9090 3.1956 5.0953
Al 13.8344 1.0652 1.7865
Al 13.9498 1.0652 4.4620
Al 15.9714 3.1956 3.3495
Al 16.5989 1.0652 1.0021
Ir 0.6663 3.1956 1.6137
Ir 3.6983 1.0652 3.5086
Ir 4.8828 3.1956 0.1999
Ir 7.9149 1.0652 4.9224
Ir 9.2474 3.1956 1.6950
Ir 12.2794 1.0652 6.4176
Ir 13.4640 3.1956 3.1088
Ir 16.4960 1.0652 5.0038
```

=====

Record 10
The following is a DFT calculation (GGA-PBE) of an optimized crystal structure of Dy3Al7Ir4.

Results
- formation energy from the elements (meV/atom) = -837
- DOS(E_F) (states/eV/f.u.) = 6.431
- space group = No. 12
- crystal system = monoclinic

```
14
Lattice="7.6687 -2.1299 0.0000 7.6687 2.1299 0.0000 -5.4011 0.0000 7.7690" Properties=species:S:1:pos:R:3 pbc="T T T"
Dy 0.0000 0.0000 0.0000
Dy 3.0786 0.0000 2.3234
Dy 6.8578 0.0000 5.4456
Al -2.7005 0.0000 3.8845
Al 0.1424 0.0000 3.2680
Al -0.4319 0.0000 7.5852
Al 3.7682 0.0000 5.4966
Al 6.1682 0.0000 2.2724
Al 10.3683 0.0000 0.1838
Al 9.7940 0.0000 4.5011
Ir -2.8078 0.0000 6.4530
Ir 1.2781 0.0000 5.5910
Ir 8.6582 0.0000 2.1780
Ir 12.7442 0.0000 1.3160
```

=====

Record 11
The following is a DFT calculation (GGA-PBE) of an optimized crystal structure of Dy8Al2Ir.

Results
- formation energy from the elements (meV/atom) = -316
- DOS(E_F) (states/eV/f.u.) = 10.443
- space group = No. 12
- crystal system = monoclinic

```
11
Lattice="9.2958 -2.5062 0.0000 9.2958 2.5062 0.0000 -1.6405 0.0000 6.3792" Properties=species:S:1:pos:R:3 pbc="T T T"
Dy -0.0433 0.0000 1.8068
Dy 2.6272 0.0000 5.1573
Dy 5.6554 0.0000 3.3531
Dy 7.5145 0.0000 0.3382
Dy 9.4365 0.0000 6.0410
Dy 11.2957 0.0000 3.0262
Dy 14.3238 0.0000 1.2220
Dy 16.9943 0.0000 4.5724
Al 3.0486 0.0000 1.5854
Al 13.9025 0.0000 4.7939
Ir 8.4755 0.0000 3.1896
```

=====

Record 12
The following is a DFT calculation (GGA-PBE) of an optimized crystal structure of DyAl3Ir2.

Results
- formation energy from the elements (meV/atom) = -828
- DOS(E_F) (states/eV/f.u.) = 2.857
- space group = No. 12
- crystal system = monoclinic

```
18
Lattice="8.2234 -2.0589 0.0000 8.2234 2.0589 0.0000 -2.8013 0.0000 9.4545" Properties=species:S:1:pos:R:3 pbc="T T T"
Dy 0.0000 0.0000 0.0000
Dy 0.6925 0.0000 6.7140
Dy 12.9530 0.0000 2.7405
Al -0.2286 0.0000 3.2279
Al 2.4238 0.0000 3.7347
Al 5.2029 0.0000 0.3286
Al 3.9602 0.0000 7.5229
Al 6.8228 0.0000 4.7272
Al 9.6854 0.0000 1.9315
Al 8.4427 0.0000 9.1258
Al 11.2218 0.0000 5.7198
Al 13.8741 0.0000 6.2266
Ir 2.7565 0.0000 1.1998
Ir 4.4542 0.0000 5.1071
Ir 7.0777 0.0000 2.1075
Ir 6.5679 0.0000 7.3470
Ir 9.1913 0.0000 4.3473
Ir 10.8891 0.0000 8.2547
```

=====

Record 13
The following is a DFT calculation (GGA-PBE) of an optimized crystal structure of DyAl6Ir3.

Results
- formation energy from the elements (meV/atom) = -788
- DOS(E_F) (states/eV/f.u.) = 4.634
- space group = No. 11
- crystal system = monoclinic

```
20
Lattice="8.1002 0.0000 0.0000 0.0000 4.2255 0.0000 -1.2128 0.0000 9.7890" Properties=species:S:1:pos:R:3 pbc="T T T"
Dy 0.1576 1.0564 2.7022
Dy 6.7297 3.1691 7.0868
Al 1.0723 3.1691 0.2238
Al 0.3858 1.0564 5.8412
Al 1.6255 3.1691 7.4534
Al 2.3209 3.1691 2.6196
Al 2.9331 1.0564 4.2128
Al 2.6229 1.0564 8.9503
Al 4.2645 3.1691 0.8387
Al 3.9543 3.1691 5.5762
Al 4.5665 1.0564 7.1695
Al 5.2619 1.0564 2.3357
Al 6.5016 3.1691 3.9479
Al 5.8150 1.0564 9.5652
Ir 0.1757 1.0564 8.4650
Ir 1.4073 3.1691 4.8865
Ir 2.8568 1.0564 1.4527
Ir 4.0305 3.1691 8.3364
Ir 5.4800 1.0564 4.9025
Ir 6.7116 3.1691 1.3240
```

=====

Record 14
The following is a DFT calculation (GGA-PBE) of an optimized crystal structure of Dy2Al8Ir.

Results
- formation energy from the elements (meV/atom) = -556
- DOS(E_F) (states/eV/f.u.) = 3.737
- space group = No. 123
- crystal system = tetragonal

```
11
Lattice="4.2876 0.0000 0.0000 0.0000 4.2876 0.0000 0.0000 0.0000 11.1692" Properties=species:S:1:pos:R:3 pbc="T T T"
Dy 0.0000 0.0000 2.1285
Dy 0.0000 0.0000 9.0406
Al 0.0000 2.1438 0.0000
Al 0.0000 2.1438 4.2362
Al 0.0000 2.1438 6.9329
Al 2.1438 0.0000 0.0000
Al 2.1438 0.0000 4.2362
Al 2.1438 0.0000 6.9329
Al 2.1438 2.1438 2.1576
Al 2.1438 2.1438 9.0115
Ir 0.0000 0.0000 5.5846
```

=====

Record 15
The following is a DFT calculation (GGA-PBE) of an optimized crystal structure of LiDyAlIr.

Results
- formation energy from the elements (meV/atom) = -590
- DOS(E_F) (states/eV/f.u.) = 3.739
- space group = No. 216
- crystal system = cubic

```
16
Lattice="6.5369 0.0000 0.0000 0.0000 6.5369 0.0000 0.0000 0.0000 6.5369" Properties=species:S:1:pos:R:3 pbc="T T T"
Li 0.0000 0.0000 0.0000
Li 0.0000 3.2684 3.2684
Li 3.2684 0.0000 3.2684
Li 3.2684 3.2684 0.0000
Dy 1.6342 1.6342 1.6342
Dy 1.6342 4.9027 4.9027
Dy 4.9027 1.6342 4.9027
Dy 4.9027 4.9027 1.6342
Al 1.6342 1.6342 4.9027
Al 1.6342 4.9027 1.6342
Al 4.9027 1.6342 1.6342
Al 4.9027 4.9027 4.9027
Ir 0.0000 0.0000 3.2684
Ir 0.0000 3.2684 0.0000
Ir 3.2684 0.0000 0.0000
Ir 3.2684 3.2684 3.2684
```

=====

Record 16
The following is a DFT calculation (GGA-PBE) of an optimized crystal structure of DyAl4Ni2Ir.

Results
- formation energy from the elements (meV/atom) = -619
- DOS(E_F) (states/eV/f.u.) = 4.563
- space group = No. 166
- crystal system = trigonal

```
8
Lattice="2.0579 1.1881 8.8172 -2.0579 1.1881 8.8172 0.0000 -2.3762 8.8172" Properties=species:S:1:pos:R:3 pbc="T T T"
Dy 0.0000 0.0000 0.0000
Al 0.0000 0.0000 3.4613
Al 0.0000 0.0000 10.6997
Al 0.0000 0.0000 15.7520
Al 0.0000 0.0000 22.9903
Ni 0.0000 0.0000 6.0940
Ni 0.0000 0.0000 20.3576
Ir 0.0000 0.0000 13.2258
```

=====

Record 17
The following is a DFT calculation (GGA-PBE) of an optimized crystal structure of Dy3AlP2Ir9.

Results
- formation energy from the elements (meV/atom) = -443
- DOS(E_F) (states/eV/f.u.) = 9.324
- space group = No. 164
- crystal system = trigonal

```
15
Lattice="5.6144 0.0000 0.0000 -2.8072 4.8622 0.0000 0.0000 0.0000 10.3084" Properties=species:S:1:pos:R:3 pbc="T T T"
Dy 0.0000 0.0000 0.0000
Dy 0.0000 3.2415 5.9687
Dy 2.8072 1.6207 4.3398
Al 0.0000 0.0000 5.1542
P 0.0000 3.2415 1.6574
P 2.8072 1.6207 8.6511
Ir -1.4036 2.4311 0.0000
Ir 0.0000 1.5480 3.1734
Ir -1.4666 4.0882 3.1734
Ir 1.3406 0.7740 7.1350
Ir 2.8072 0.0000 0.0000
Ir 1.4036 2.4311 0.0000
Ir 1.4666 4.0882 3.1734
Ir 4.2738 0.7740 7.1350
Ir 2.8072 3.3142 7.1350
```

=====

Record 18
The following is a DFT calculation (GGA-PBE) of an optimized crystal structure of Dy2Al4IrPt3.

Results
- formation energy from the elements (meV/atom) = -1087
- DOS(E_F) (states/eV/f.u.) = 5.873
- space group = No. 115
- crystal system = tetragonal

```
10
Lattice="4.1899 0.0000 0.0000 0.0000 4.1899 0.0000 0.0000 0.0000 10.4516" Properties=species:S:1:pos:R:3 pbc="T T T"
Dy 0.0000 2.0950 2.5339
Dy 2.0950 0.0000 7.9177
Al 0.0000 0.0000 5.2258
Al 0.0000 2.0950 9.1148
Al 2.0950 0.0000 1.3368
Al 2.0950 2.0950 5.2258
Ir 2.0950 2.0950 0.0000
Pt 0.0000 0.0000 0.0000
Pt 0.0000 2.0950 6.6527
Pt 2.0950 0.0000 3.7989
```

=====

Record 19
The following is a DFT calculation (GGA-PBE) of an optimized crystal structure of DyAl4IrRh2.

Results
- formation energy from the elements (meV/atom) = -860
- DOS(E_F) (states/eV/f.u.) = 2.898
- space group = No. 166
- crystal system = trigonal

```
8
Lattice="2.1042 1.2148 8.6898 -2.1042 1.2148 8.6898 0.0000 -2.4297 8.6898" Properties=species:S:1:pos:R:3 pbc="T T T"
Dy 0.0000 0.0000 0.0000
Al 0.0000 0.0000 3.4525
Al 0.0000 0.0000 10.5065
Al 0.0000 0.0000 15.5630
Al 0.0000 0.0000 22.6170
Ir 0.0000 0.0000 13.0348
Rh 0.0000 0.0000 6.1425
Rh 0.0000 0.0000 19.9270
```